The following is a DFT calculation (PBE) of crystalline TmTh2Tl3Te6 at its relaxed geometry.

Structure (POSCAR):
```
TmTh2Tl3Te6
1.0
3.8077 -6.5822 0.0000
3.8077 6.5822 0.0000
-2.5317 0.0000 8.4678
Tm Th Tl Te
1 2 3 6
direct
0.0000 0.0000 0.0000
0.3347 0.6653 0.0000
0.6653 0.3347 0.0000
0.1688 0.8312 0.5000
0.5000 0.5000 0.5000
0.8312 0.1688 0.5000
0.0722 0.3972 0.2188
0.2491 0.2491 0.7777
0.3972 0.0722 0.2188
0.6028 0.9278 0.7812
0.7509 0.7509 0.2223
0.9278 0.6028 0.7812
```

**Energy relative to the elements, uncorrected**: -0.8795 eV per atom


The following is a DFT calculation (PBE) of crystalline Ba3SrBi2Pt at its relaxed geometry.

Structure (POSCAR):
```
Ba3SrBi2Pt
1.0
-2.8560 2.9174 9.2526
2.8560 -2.9174 9.2526
2.8560 2.9174 -9.2526
Ba Sr Bi Pt
3 1 2 1
direct
0.0000 0.0000 0.0000
0.3228 0.8228 0.5000
0.6772 0.1772 0.5000
0.5000 0.5000 0.0000
0.1320 0.6320 0.5000
0.8680 0.3680 0.5000
0.5000 0.0000 0.5000
```


The following is a DFT calculation (PBE) of crystalline CaThMg2Au4 at its relaxed geometry.

Structure (POSCAR):
```
CaThMg2Au4
1.0
2.4940 1.4399 8.1922
-2.4940 1.4399 8.1922
0.0000 -2.8798 8.1922
Ca Th Mg Au
1 1 2 4
direct
0.0000 0.0000 0.0000
0.5000 0.5000 0.5000
0.2536 0.2536 0.2536
0.7464 0.7464 0.7464
0.1237 0.1237 0.1237
0.3763 0.3763 0.3763
0.6237 0.6237 0.6237
0.8763 0.8763 0.8763
```


The following is a DFT calculation (PBE) of crystalline Pa3GaSe2 at its relaxed geometry.

Structure (POSCAR):
```
Pa3GaSe2
1.0
-2.1090 2.8904 5.9955
2.1090 -2.8904 5.9955
2.1090 2.8904 -5.9955
Pa Ga Se
3 1 2
direct
0.0000 0.0000 0.0000
0.3316 0.3316 0.0000
0.6684 0.6684 0.0000
0.5000 0.0000 0.5000
0.1652 0.6652 0.5000
0.8348 0.3348 0.5000
```

**Energy relative to the elements, uncorrected**: -0.8352 eV per atom


Number 1: total DFT energy (no corrections) -0.3419 Ry per atom. Number 2: total DFT energy (no corrections) -0.2821 Ry per atom. Number 3: total DFT energy (no corrections) -0.2857 Ry per atom. Number 4: total DFT energy (no corrections) -0.5328 Ry per atom.